No. 1
# SCAN BaZr4, PBEsol geometry
data_BaZr4
_space_group_name_H-M_alt 'P 1'
_space_group_IT_number 1
_space_group_name_Hall 'P 1'
_cell_length_a 3.253
_cell_length_b 6.574
_cell_length_c 6.574
_cell_angle_alpha 86.49
_cell_angle_beta 75.68
_cell_angle_gamma 75.68
loop_
_atom_site_label
_atom_site_fract_x
_atom_site_fract_y
_atom_site_fract_z
Ba1 0.000 0.000 0.000
Zr1 0.619 0.222 0.539
Zr2 0.842 0.539 0.778
Zr3 0.381 0.778 0.461
Zr4 0.158 0.461 0.222
# DFT total energy ... -160.36 eV per cell
# Crystal system ... tetragonal


No. 2
# SCAN Ta2TcSe, PBEsol geometry
data_Ta2TcSe
_space_group_name_H-M_alt 'P 1'
_space_group_IT_number 1
_space_group_name_Hall 'P 1'
_cell_length_a 4.508
_cell_length_b 4.508
_cell_length_c 4.508
_cell_angle_alpha 60.00
_cell_angle_beta 60.00
_cell_angle_gamma 60.00
loop_
_atom_site_label
_atom_site_fract_x
_atom_site_fract_y
_atom_site_fract_z
Se1 0.500 0.500 0.500
Ta1 0.000 0.000 0.000
Ta2 0.750 0.750 0.750
Tc1 0.250 0.250 0.250
# DFT total energy ... -187.02 eV per cell
# Formation energy (no corrections) ... 0.321 eV/atom
# Crystal system ... cubic


No. 3
# SCAN NaSm2Se3, PBEsol geometry
data_NaSm2Se3
_space_group_name_H-M_alt 'P 1'
_space_group_IT_number 1
_space_group_name_Hall 'P 1'
_cell_length_a 7.141
_cell_length_b 7.141
_cell_length_c 7.119
_cell_angle_alpha 99.70
_cell_angle_beta 99.70
_cell_angle_gamma 119.49
loop_
_atom_site_label
_atom_site_fract_x
_atom_site_fract_y
_atom_site_fract_z
Na1 0.582 0.418 0.250
Na2 0.418 0.582 0.750
Sm1 0.251 0.749 0.250
Sm2 0.917 0.083 0.250
Sm3 0.083 0.917 0.750
Sm4 0.749 0.251 0.750
Se1 0.331 0.164 0.498
Se2 0.669 0.836 0.502
Se3 0.836 0.669 0.002
Se4 0.000 0.500 0.500
Se5 0.164 0.331 0.998
Se6 0.500 0.000 0.000
# DFT total energy ... -330.20 eV per cell
# Formation energy (no corrections) ... -1.961 eV/atom
# Crystal system ... monoclinic


No. 4
# SCAN SiAg2Pb, PBEsol geometry
data_SiAg2Pb
_space_group_name_H-M_alt 'P 1'
_space_group_IT_number 1
_space_group_name_Hall 'P 1'
_cell_length_a 3.082
_cell_length_b 5.240
_cell_length_c 5.753
_cell_angle_alpha 117.09
_cell_angle_beta 105.54
_cell_angle_gamma 90.00
loop_
_atom_site_label
_atom_site_fract_x
_atom_site_fract_y
_atom_site_fract_z
Ag1 0.720 0.720 0.440
Ag2 0.280 0.280 0.560
Pb1 0.500 0.000 0.000
Si1 0.000 0.500 0.000
# DFT total energy ... -146.91 eV per cell
# Formation energy (no corrections) ... 0.406 eV/atom
# Crystal system ... orthorhombic


No. 5
# SCAN Te2Os, PBEsol geometry
data_Te2Os
_space_group_name_H-M_alt 'P 1'
_space_group_IT_number 1
_space_group_name_Hall 'P 1'
_cell_length_a 6.389
_cell_length_b 6.389
_cell_length_c 6.389
_cell_angle_alpha 90.00
_cell_angle_beta 90.00
_cell_angle_gamma 90.00
loop_
_atom_site_label
_atom_site_fract_x
_atom_site_fract_y
_atom_site_fract_z
Os1 0.500 0.000 0.500
Os2 0.000 0.500 0.500
Os3 0.000 0.000 0.000
Os4 0.500 0.500 0.000
Te1 0.128 0.628 0.872
Te2 0.872 0.372 0.128
Te3 0.628 0.872 0.128
Te4 0.372 0.128 0.872
Te5 0.872 0.128 0.628
Te6 0.128 0.872 0.372
Te7 0.372 0.372 0.372
Te8 0.628 0.628 0.628
# DFT total energy ... -587.87 eV per cell
# Formation energy (no corrections) ... -0.196 eV/atom
# Crystal system ... cubic


No. 6
# SCAN BTeIr2, PBEsol geometry
data_BTeIr2
_space_group_name_H-M_alt 'P 1'
_space_group_IT_number 1
_space_group_name_Hall 'P 1'
_cell_length_a 5.029
_cell_length_b 5.029
_cell_length_c 6.606
_cell_angle_alpha 112.38
_cell_angle_beta 112.38
_cell_angle_gamma 90.00
loop_
_atom_site_label
_atom_site_fract_x
_atom_site_fract_y
_atom_site_fract_z
B1 0.750 0.250 0.500
B2 0.500 0.500 0.000
Ir1 0.781 0.375 0.250
Ir2 0.469 0.875 0.250
Ir3 0.625 0.531 0.750
Ir4 0.125 0.219 0.750
Te1 0.250 0.750 0.500
Te2 0.000 0.000 0.000
# DFT total energy ... -373.34 eV per cell
# Formation energy (no corrections) ... 0.052 eV/atom
# Crystal system ... tetragonal


No. 7
# SCAN Mn5Tc, PBEsol geometry
data_Mn5Tc
_space_group_name_H-M_alt 'P 1'
_space_group_IT_number 1
_space_group_name_Hall 'P 1'
_cell_length_a 4.551
_cell_length_b 4.551
_cell_length_c 4.551
_cell_angle_alpha 60.00
_cell_angle_beta 60.00
_cell_angle_gamma 60.00
loop_
_atom_site_label
_atom_site_fract_x
_atom_site_fract_y
_atom_site_fract_z
Mn1 0.624 0.624 0.129
Mn2 0.250 0.250 0.250
Mn3 0.624 0.129 0.624
Mn4 0.624 0.624 0.624
Mn5 0.129 0.624 0.624
Tc1 0.000 0.000 0.000
# DFT total energy ... -126.16 eV per cell
# Crystal system ... cubic


No. 8
# SCAN BeRePO2, PBEsol geometry
data_BeRePO2
_space_group_name_H-M_alt 'P 1'
_space_group_IT_number 1
_space_group_name_Hall 'P 1'
_cell_length_a 3.692
_cell_length_b 3.692
_cell_length_c 5.136
_cell_angle_alpha 90.00
_cell_angle_beta 90.00
_cell_angle_gamma 90.00
loop_
_atom_site_label
_atom_site_fract_x
_atom_site_fract_y
_atom_site_fract_z
Re1 0.000 0.000 0.000
Be1 0.500 0.500 0.500
O1 0.000 0.500 0.000
O2 0.500 0.000 0.000
P1 0.000 0.000 0.500
# DFT total energy ... -100.65 eV per cell
# Formation energy (no corrections) ... -0.467 eV/atom
# Crystal system ... tetragonal


> Which value of DFT total energy does entry 5 give?

-587.87 eV per cell


> Look up the DFT total energy of the sixth one.

-373.34 eV per cell


> The highest DFT total energy belongs to which entry?

BeRePO2


> Among the records above, which one has the highest DFT total energy?

BeRePO2